[1]
A relaxed structure of CaZrRu2, computed with GGA-PBE.

VASP energy in eV/atom: -7.165
Space-group type: R-3m (166)
Relative energy among the computed polymorphs in eV per atom: 0.2681
Volume in Å³/cell: 77.70
Energy of formation from the pure elements in kJ/mol of atoms: 11

```
CaZrRu2
1.0
1.6371 0.9452 8.3696
-1.6371 0.9452 8.3696
0.0000 -1.8903 8.3696
Ca Zr Ru
1 1 2
Direct
0.0000 0.0000 0.0000 Ca
0.5000 0.5000 0.5000 Zr
0.2424 0.2424 0.2424 Ru
0.7576 0.7576 0.7576 Ru
```

---

[2]
A relaxed structure of CaZr2Ru, computed with GGA-PBE.

VASP energy in eV/atom: -7.175
Space-group type: Immm (71)
Relative energy among the computed polymorphs in eV per atom: 0.0126
Volume in Å³/cell: 90.99
Energy of formation from the pure elements in kJ/mol of atoms: -8

```
CaZr2Ru
1.0
-1.6980 2.6511 5.0531
1.6980 -2.6511 5.0531
1.6980 2.6511 -5.0531
Ca Zr Ru
1 2 1
Direct
0.0000 0.0000 0.0000 Ca
0.2988 0.7988 0.5000 Zr
0.7012 0.2012 0.5000 Zr
0.5000 0.5000 0.0000 Ru
```

---

[3]
A relaxed structure of CaZrRu2, computed with GGA-PBE.

VASP energy in eV/atom: -7.073
Space-group type: P4mm (99)
Relative energy among the computed polymorphs in eV per atom: 0.3599
Volume in Å³/cell: 79.42
Energy of formation from the pure elements in kJ/mol of atoms: 20

```
CaZrRu2
1.0
2.9612 0.0000 0.0000
0.0000 2.9612 0.0000
0.0000 0.0000 9.0565
Ca Zr Ru
1 1 2
Direct
0.0000 0.0000 0.0000 Ca
0.5000 0.5000 0.6469 Zr
0.0000 0.0000 0.4182 Ru
0.5000 0.5000 0.2464 Ru
```

---

[4]
A relaxed structure of CaZrRu, computed with GGA-PBE.

VASP energy in eV/atom: -6.760
Space-group type: I4mm (107)
Relative energy among the computed polymorphs in eV per atom: 0.0000
Volume in Å³/cell: 70.45
Energy of formation from the pure elements in kJ/mol of atoms: -15

```
CaZrRu
1.0
-1.6671 1.6671 6.3371
1.6671 -1.6671 6.3371
1.6671 1.6671 -6.3371
Ca Zr Ru
1 1 1
Direct
0.0000 0.0000 0.0000 Ca
0.2631 0.2631 0.0000 Zr
0.6598 0.6598 0.0000 Ru
```

---

[5]
A relaxed structure of CaZr2Ru, computed with GGA-PBE.

VASP energy in eV/atom: -7.095
Space-group type: Imm2 (44)
Relative energy among the computed polymorphs in eV per atom: 0.0921
Volume in Å³/cell: 89.26
Energy of formation from the pure elements in kJ/mol of atoms: 0

```
CaZr2Ru
1.0
-1.7134 2.4799 5.2515
1.7134 -2.4799 5.2515
1.7134 2.4799 -5.2515
Ca Zr Ru
1 2 1
Direct
0.0000 0.0000 0.0000 Ca
0.4148 0.4148 0.0000 Zr
0.7125 0.2125 0.5000 Zr
0.2304 0.7304 0.5000 Ru
```

---

[6]
A relaxed structure of Ca4ZrRu, computed with GGA-PBE.

VASP energy in eV/atom: -3.270
Space-group type: F-43m (216)
Volume in Å³/cell: 172.67
Energy of formation from the pure elements in kJ/mol of atoms: 100

```
Ca4ZrRu
1.0
0.0000 4.4197 4.4197
4.4197 0.0000 4.4197
4.4197 4.4197 0.0000
Ca Zr Ru
4 1 1
Direct
0.1247 0.1247 0.1247 Ca
0.1247 0.1247 0.6258 Ca
0.1247 0.6258 0.1247 Ca
0.6258 0.1247 0.1247 Ca
0.5000 0.5000 0.5000 Zr
0.7500 0.7500 0.7500 Ru
```

---

[7]
A relaxed structure of CaZrRu2, computed with GGA-PBE.

VASP energy in eV/atom: -7.072
Space-group type: I-4m2 (119)
Relative energy among the computed polymorphs in eV per atom: 0.3606
Volume in Å³/cell: 74.21
Energy of formation from the pure elements in kJ/mol of atoms: 20

```
CaZrRu2
1.0
-1.9599 1.9599 4.8298
1.9599 -1.9599 4.8298
1.9599 1.9599 -4.8298
Ca Zr Ru
1 1 2
Direct
0.0000 0.0000 0.0000 Ca
0.7500 0.2500 0.5000 Zr
0.2500 0.7500 0.5000 Ru
0.5000 0.5000 0.0000 Ru
```

---

[8]
A relaxed structure of CaZrRu, computed with GGA-PBE.

VASP energy in eV/atom: -6.483
Space-group type: F-43m (216)
Relative energy among the computed polymorphs in eV per atom: 0.2773
Volume in Å³/cell: 71.07
Energy of formation from the pure elements in kJ/mol of atoms: 12

```
CaZrRu
1.0
0.0000 3.2876 3.2876
3.2876 0.0000 3.2876
3.2876 3.2876 0.0000
Ca Zr Ru
1 1 1
Direct
0.0000 0.0000 0.0000 Ca
0.5000 0.5000 0.5000 Zr
0.7500 0.7500 0.7500 Ru
```

---

[9]
A relaxed structure of CaZr2Ru, computed with GGA-PBE.

VASP energy in eV/atom: -7.031
Space-group type: Pm (6)
Relative energy among the computed polymorphs in eV per atom: 0.1562
Volume in Å³/cell: 97.96
Energy of formation from the pure elements in kJ/mol of atoms: 6

```
CaZr2Ru
1.0
3.3345 0.0000 0.0000
0.0000 4.2615 0.0000
-1.4519 0.0000 6.8936
Ca Zr Ru
1 2 1
Direct
0.0000 0.0000 0.0000 Ca
0.3655 0.5000 0.6813 Zr
0.7676 0.0000 0.4509 Zr
0.2340 0.5000 0.3258 Ru
```

---

[10]
A relaxed structure of CaS, computed with GGA-PBE.

Formation energy from raw total energies in meV/atom: -1934
VASP energy in eV/atom: -4.998
Space-group type: I4_1md (109)
Volume in Å³/cell: 94.13

```
CaS
1.0
-1.8536 1.8536 6.8494
1.8536 -1.8536 6.8494
1.8536 1.8536 -6.8494
Ca S
2 2
Direct
0.0000 0.0000 0.0000 Ca
0.7500 0.2500 0.5000 Ca
0.1638 0.6638 0.5000 S
0.4138 0.4138 0.0000 S
```

---

[11]
A relaxed structure of CaS, computed with GGA-PBE.

Formation energy from raw total energies in meV/atom: -1867
VASP energy in eV/atom: -4.931
Space-group type: Pm-3n (223)
Volume in Å³/cell: 459.08

```
CaS
1.0
7.7143 0.0000 0.0000
0.0000 7.7143 0.0000
0.0000 0.0000 7.7143
Ca S
6 6
Direct
0.0000 0.2500 0.5000 Ca
0.0000 0.7500 0.5000 Ca
0.2500 0.5000 0.0000 Ca
0.5000 0.0000 0.2500 Ca
0.5000 0.0000 0.7500 Ca
0.7500 0.5000 0.0000 Ca
0.0000 0.5000 0.2500 S
0.0000 0.5000 0.7500 S
0.2500 0.0000 0.5000 S
0.5000 0.2500 0.0000 S
0.5000 0.7500 0.0000 S
0.7500 0.0000 0.5000 S
```

---

[12]
A relaxed structure of CaS5, computed with GGA-PBE.

Formation energy from raw total energies in meV/atom: -572
VASP energy in eV/atom: -4.345
Space-group type: P-1 (2)
Volume in Å³/cell: 317.85

```
CaS5
1.0
4.1289 0.0000 0.0000
0.4219 7.7246 0.0000
0.8973 0.1115 9.9657
Ca S
2 10
Direct
0.0593 0.2571 0.0302 Ca
0.9407 0.7429 0.9698 Ca
0.1168 0.7447 0.6468 S
0.1194 0.0250 0.4015 S
0.1195 0.4692 0.4025 S
0.4164 0.5395 0.0997 S
0.4302 0.9807 0.9017 S
0.5698 0.0193 0.0983 S
0.5836 0.4605 0.9003 S
0.8805 0.5308 0.5975 S
0.8806 0.9750 0.5985 S
0.8832 0.2553 0.3532 S
```

---

[13]
A relaxed structure of CaS, computed with GGA-PBE.

Formation energy from raw total energies in meV/atom: -1822
VASP energy in eV/atom: -4.886
Space-group type: Fddd (70)
Volume in Å³/cell: 326.05

```
CaS
1.0
0.0000 5.9421 6.1015
4.4965 0.0000 6.1015
4.4965 5.9421 0.0000
Ca S
4 4
Direct
0.0296 0.0296 0.7204 Ca
0.2796 0.2796 0.9704 Ca
0.7204 0.7204 0.0296 Ca
0.9704 0.9704 0.2796 Ca
0.0432 0.7068 0.0432 S
0.2932 0.9568 0.2932 S
0.7068 0.0432 0.7068 S
0.9568 0.2932 0.9568 S
```

---

[14]
A relaxed structure of CaS, computed with GGA-PBE.

Formation energy from raw total energies in meV/atom: -1863
VASP energy in eV/atom: -4.927
Space-group type: P6_3/m (176)
Volume in Å³/cell: 452.66

```
CaS
1.0
10.5265 0.0000 0.0000
-5.2632 9.1162 0.0000
0.0000 0.0000 4.7171
Ca S
6 6
Direct
0.0723 0.6633 0.2500 Ca
0.3367 0.4090 0.2500 Ca
0.4090 0.0723 0.7500 Ca
0.5910 0.9277 0.2500 Ca
0.6633 0.5910 0.7500 Ca
0.9277 0.3367 0.7500 Ca
0.0777 0.4039 0.2500 S
0.3262 0.9223 0.2500 S
0.4039 0.3262 0.7500 S
0.5961 0.6738 0.2500 S
0.6738 0.0777 0.7500 S
0.9223 0.5961 0.7500 S
```

---

[15]
A relaxed structure of CaS, computed with GGA-PBE.

Formation energy from raw total energies in meV/atom: -2049
VASP energy in eV/atom: -5.114
Space-group type: R3m (160)
Volume in Å³/cell: 94.46

```
CaS
1.0
1.9848 1.1459 6.9219
-1.9848 1.1459 6.9219
0.0000 -2.2918 6.9219
Ca S
2 2
Direct
0.0000 0.0000 0.0000 Ca
0.1694 0.1694 0.1694 Ca
0.4164 0.4164 0.4164 S
0.5861 0.5861 0.5861 S
```

---

[16]
A relaxed structure of CaS, computed with GGA-PBE.

Formation energy from raw total energies in meV/atom: -1830
VASP energy in eV/atom: -4.894
Space-group type: I-43m (217)
Volume in Å³/cell: 317.41

```
CaS
1.0
-4.2972 4.2972 4.2972
4.2972 -4.2972 4.2972
4.2972 4.2972 -4.2972
Ca S
4 4
Direct
0.0000 0.0000 0.3120 Ca
0.0000 0.3120 0.0000 Ca
0.3120 0.0000 0.0000 Ca
0.6880 0.6880 0.6880 Ca
0.0000 0.0000 0.6735 S
0.0000 0.6735 0.0000 S
0.3265 0.3265 0.3265 S
0.6735 0.0000 0.0000 S
```

---

[17]
A relaxed structure of CaS, computed with GGA-PBE.

Formation energy from raw total energies in meV/atom: -1886
VASP energy in eV/atom: -4.951
Space-group type: F-43m (216)
Volume in Å³/cell: 62.66

```
CaS
1.0
0.0000 3.1524 3.1524
3.1524 0.0000 3.1524
3.1524 3.1524 0.0000
Ca S
1 1
Direct
0.0000 0.0000 0.0000 Ca
0.2500 0.2500 0.2500 S
```

---

[18]
A relaxed structure of CaS, computed with GGA-PBE.

Formation energy from raw total energies in meV/atom: -1957
VASP energy in eV/atom: -5.021
Space-group type: P-6m2 (187)
Volume in Å³/cell: 47.55

```
CaS
1.0
3.9140 0.0000 0.0000
-1.9570 3.3896 0.0000
0.0000 0.0000 3.5838
Ca S
1 1
Direct
0.0000 0.0000 0.0000 Ca
0.6667 0.3333 0.5000 S
```

---

[19]
A relaxed structure of Ca4S, computed with GGA-PBE.

Formation energy from raw total energies in meV/atom: -730
VASP energy in eV/atom: -3.157
Space-group type: Pm-3m (221)
Volume in Å³/cell: 177.94

```
Ca4S
1.0
5.6246 0.0000 0.0000
0.0000 5.6246 0.0000
0.0000 0.0000 5.6246
Ca S
4 1
Direct
0.0000 0.0000 0.0000 Ca
0.0000 0.5000 0.5000 Ca
0.5000 0.0000 0.5000 Ca
0.5000 0.5000 0.0000 Ca
0.5000 0.5000 0.5000 S
```

---

[20]
A relaxed structure of CaS, computed with GGA-PBE.

Formation energy from raw total energies in meV/atom: -1863
VASP energy in eV/atom: -4.927
Space-group type: Amm2 (38)
Volume in Å³/cell: 195.38

```
CaS
1.0
4.0153 0.0000 0.0000
0.0000 6.4565 3.7681
0.0000 -6.4565 3.7681
Ca S
3 3
Direct
0.0000 0.0000 0.0000 Ca
0.5000 0.5732 0.9990 Ca
0.5000 0.9990 0.5732 Ca
0.0000 0.2690 0.8489 S
0.0000 0.8489 0.2690 S
0.5000 0.7672 0.7672 S
```

---

[21]
A relaxed structure of CaS, computed with GGA-PBE.

Formation energy from raw total energies in meV/atom: -2155
VASP energy in eV/atom: -5.219
Space-group type: Fm-3m (225)
Volume in Å³/cell: 46.70

```
CaS
1.0
0.0000 2.8581 2.8581
2.8581 0.0000 2.8581
2.8581 2.8581 0.0000
Ca S
1 1
Direct
0.0000 0.0000 0.0000 Ca
0.5000 0.5000 0.5000 S
```

---

[22]
A relaxed structure of CaS, computed with GGA-PBE.

Formation energy from raw total energies in meV/atom: -2005
VASP energy in eV/atom: -5.069
Space-group type: I4/mcm (140)
Volume in Å³/cell: 255.14

```
CaS
1.0
-4.7590 4.7590 2.8164
4.7590 -4.7590 2.8164
4.7590 4.7590 -2.8164
Ca S
4 4
Direct
0.1451 0.6451 0.7901 Ca
0.3549 0.1451 0.5000 Ca
0.6451 0.8549 0.5000 Ca
0.8549 0.3549 0.2099 Ca
0.1489 0.3511 0.5000 S
0.3511 0.8511 0.2022 S
0.6489 0.1489 0.7978 S
0.8511 0.6489 0.5000 S
```

---

[23]
A relaxed structure of Ca4SbS2, computed with GGA-PBE.

Formation energy from raw total energies in meV/atom: -1536
VASP energy in eV/atom: -4.448
Space-group type: Cmcm (63)
Volume in Å³/cell: 387.09

```
Ca4SbS2
1.0
2.1163 -6.6772 0.0000
2.1163 6.6772 0.0000
0.0000 0.0000 13.6962
Ca Sb S
8 2 4
Direct
0.0000 0.0000 0.0000 Ca
0.0000 0.0000 0.5000 Ca
0.2678 0.7322 0.6203 Ca
0.2678 0.7322 0.8797 Ca
0.4379 0.5621 0.2500 Ca
0.5621 0.4379 0.7500 Ca
0.7322 0.2678 0.1203 Ca
0.7322 0.2678 0.3797 Ca
0.1110 0.8890 0.2500 Sb
0.8890 0.1110 0.7500 Sb
0.3671 0.6329 0.0564 S
0.3671 0.6329 0.4436 S
0.6329 0.3671 0.5564 S
0.6329 0.3671 0.9436 S
```

---

[24]
A relaxed structure of CaSbS3, computed with GGA-PBE.

Formation energy from raw total energies in meV/atom: -551
VASP energy in eV/atom: -4.252
Space-group type: Pm-3m (221)
Relative energy among the computed polymorphs in eV per atom: 0.3402
Volume in Å³/cell: 127.11

```
CaSbS3
1.0
5.0279 0.0000 0.0000
0.0000 5.0279 0.0000
0.0000 0.0000 5.0279
Ca Sb S
1 1 3
Direct
0.0000 0.0000 0.0000 Ca
0.5000 0.5000 0.5000 Sb
0.0000 0.5000 0.5000 S
0.5000 0.0000 0.5000 S
0.5000 0.5000 0.0000 S
```